Material: NaBi2Pd
Method: DFT, PBE
State: relaxed

Unit cell a=10.1937 b=10.1937 c=10.1937 alpha=21.25 beta=21.25 gamma=21.25
Positions (direct):
Na1 0.0000 0.0000 0.0000
Bi1 0.1070 0.1070 0.1070
Bi2 0.8930 0.8930 0.8930
Pd1 0.5000 0.5000 0.5000

Magnetization in Bohr magnetons per cell: 0.00
Space-group type: R-3m (166)
E in eV for the cell shown: -14.804
Polymorph energy (0 for the lowest one) in meV/atom: 180.8